# 1
Density functional theory data (GGA-PBE) for an optimized crystal structure of ZrTaTc2Te.

Lattice parameters (Å, degrees): 4.751 4.751 5.080 90.00 90.00 90.00
Sites, in units of the cell vectors:
Zr: 0.000 0.000 0.000
Ta: 0.500 0.500 0.000
Tc: 0.000 0.500 0.500
Tc: 0.500 0.000 0.500
Te: 0.000 0.000 0.500

Properties
Formation energy without anion corrections (eV per atom): 1.5208
D(E_F) (states/eV per cell): 6.1
Uncorrected energy (eV per atom): -7.33
ρ (g/cm³): 8.63

---

# 2
Density functional theory data (GGA-PBE) for an optimized crystal structure of ThTaTc.

Lattice parameters (Å, degrees): 4.303 7.263 7.263 119.93 90.00 90.00
Sites, in units of the cell vectors:
Th: 0.000 0.000 0.000
Th: 0.000 0.132 0.566
Th: 0.000 0.566 0.132
Ta: 0.500 0.333 0.333
Ta: 0.500 0.566 0.798
Ta: 0.500 0.798 0.566
Tc: 0.000 0.564 0.564
Tc: 0.500 0.234 0.899
Tc: 0.500 0.899 0.234

Properties
D(E_F) (states/eV per cell): 8.6
Uncorrected energy (eV per atom): -9.90
ρ (g/cm³): 12.94
DFT formation energy (kJ/mol of atoms): -1.9

---

# 3
Density functional theory data (GGA-PBE) for an optimized crystal structure of ThTaTc2.

Lattice parameters (Å, degrees): 3.298 3.298 7.027 90.00 90.00 90.00
Sites, in units of the cell vectors:
Th: 0.000 0.000 0.000
Ta: 0.000 0.000 0.500
Tc: 0.500 0.500 0.283
Tc: 0.500 0.500 0.717

Properties
D(E_F) (states/eV per cell): 4.0
Uncorrected energy (eV per atom): -10.10
ρ (g/cm³): 13.23
DFT formation energy (kJ/mol of atoms): -9.9

---

Question: Which of these has the highest uncorrected energy?
Answer: ZrTaTc2Te